A geometry-optimized Zn2CrO structure. Source: the Alexandria database, functional PBE with a Hubbard U.

Structure (CIF):
```
data_Zn2CrO
_cell_length_a 7.2929
_cell_length_b 7.2929
_cell_length_c 4.3298
_cell_angle_alpha 90.00
_cell_angle_beta 90.00
_cell_angle_gamma 90.00
_symmetry_space_group_name_H-M 'I -4 2 d'
_symmetry_Int_Tables_number 122
_symmetry_space_group_name_Hall 'I -4 2bw'
loop_
_atom_site_label
_atom_site_type_symbol
_atom_site_fract_x
_atom_site_fract_y
_atom_site_fract_z
Zn1 Zn 0.1708 0.2500 0.1250
Cr1 Cr 0.0000 0.0000 0.5000
O1 O 0.0000 0.0000 0.0000
```

Output
As for the total magnetization: 4.16 μB per formula unit. The calculation puts the total energy at -65.5 eV for the cell shown. The density is 5.734 Mg/m³.